[1]
## Tm2Se2O (GGA-PBE)

Data for crystalline Tm2Se2O at its relaxed geometry.

```
Tm2Se2O
1.0
-3.406 5.392 2.825
3.406 -5.392 2.825
3.406 5.392 -2.825
Tm Se O
4 4 2
Direct
0.097 0.205 0.302 Tm
0.403 0.705 0.108 Tm
0.597 0.295 0.892 Tm
0.903 0.795 0.698 Tm
0.145 0.638 0.783 Se
0.355 0.138 0.493 Se
0.645 0.862 0.507 Se
0.855 0.362 0.217 Se
0.250 0.250 0.000 O
0.750 0.750 0.000 O
```

Calculated values
For the energy, the calculation gives -6.618 eV per atom. The relative energy among the computed polymorphs is 0.017 eV/atom. For the mass density, the calculation gives 8.19 g/cm3.



[2]
## Zr2CuSnTe (GGA-PBE)

Data for crystalline Zr2CuSnTe at its relaxed geometry.

```
Zr2CuSnTe
1.0
5.287 0.000 0.000
0.000 5.287 0.000
0.000 0.000 5.696
Zr Cu Sn Te
2 1 1 1
Direct
0.000 0.500 0.000 Zr
0.500 0.000 0.000 Zr
0.000 0.000 0.500 Cu
0.500 0.500 0.500 Sn
0.500 0.500 0.000 Te
```

Calculated values
For the energy, the calculation gives -4.650 eV per atom. For the mass density, the calculation gives 5.13 g/cm3.



[3]
## BaPSe2 (GGA-PBE)

Data for crystalline BaPSe2 at its relaxed geometry.

```
BaPSe2
1.0
3.889 0.000 0.000
0.000 6.005 0.000
0.000 0.000 9.022
Ba P Se
2 2 4
Direct
0.000 0.000 0.000 Ba
0.500 0.500 0.500 Ba
0.000 0.000 0.500 P
0.500 0.500 0.000 P
0.000 0.500 0.188 Se
0.000 0.500 0.812 Se
0.500 0.000 0.312 Se
0.500 0.000 0.688 Se
```

Calculated values
For the energy, the calculation gives -4.311 eV per atom. The relative energy among the computed polymorphs is 0.173 eV/atom. For the mass density, the calculation gives 5.14 g/cm3.